# NdPuCdIn (PBE, relaxed)
data_NdPuCdIn
_cell_length_a 7.6744
_cell_length_b 7.6744
_cell_length_c 7.6744
_cell_angle_alpha 90.00
_cell_angle_beta 90.00
_cell_angle_gamma 90.00
_symmetry_space_group_name_H-M 'F -4 3 m'
_symmetry_Int_Tables_number 216
_symmetry_space_group_name_Hall 'F -4 2 3'
loop_
_atom_site_label
_atom_site_fract_x
_atom_site_fract_y
_atom_site_fract_z
_atom_site_occupancy
Nd1 0.0000 0.0000 0.0000 1
Pu1 0.0000 0.0000 0.5000 1
Cd1 0.2500 0.2500 0.2500 1
In1 0.2500 0.2500 0.7500 1
# Raw total energy = -5.888 eV per atom
# E_form = -199 meV/atom
# Mass density = 9.04 g/cm3
# Crystal system = cubic

=====

# NdCdInRh (PBE, relaxed)
data_NdCdInRh
_cell_length_a 7.0610
_cell_length_b 7.0610
_cell_length_c 7.0610
_cell_angle_alpha 90.00
_cell_angle_beta 90.00
_cell_angle_gamma 90.00
_symmetry_space_group_name_H-M 'F -4 3 m'
_symmetry_Int_Tables_number 216
_symmetry_space_group_name_Hall 'F -4 2 3'
loop_
_atom_site_label
_atom_site_fract_x
_atom_site_fract_y
_atom_site_fract_z
_atom_site_occupancy
Nd1 0.0000 0.0000 0.0000 1
Cd1 0.2500 0.2500 0.7500 1
In1 0.0000 0.0000 0.5000 1
Rh1 0.2500 0.2500 0.2500 1
# Raw total energy = -4.298 eV per atom
# E_form = -355 meV/atom
# Mass density = 8.95 g/cm3
# Crystal system = cubic

=====

# Nd4Cd2InRu (PBE, relaxed)
data_Nd4Cd2InRu
_cell_length_a 5.3657
_cell_length_b 5.3657
_cell_length_c 25.7980
_cell_angle_alpha 90.00
_cell_angle_beta 90.00
_cell_angle_gamma 120.00
_symmetry_space_group_name_H-M 'R -3 m'
_symmetry_Int_Tables_number 166
_symmetry_space_group_name_Hall '-R 3 2"'
loop_
_atom_site_label
_atom_site_fract_x
_atom_site_fract_y
_atom_site_fract_z
_atom_site_occupancy
Nd1 0.0000 0.0000 0.1130 1
Nd2 0.0000 0.0000 0.3678 1
Cd1 0.0000 0.0000 0.2406 1
In1 0.0000 0.0000 0.5000 1
Ru1 0.0000 0.0000 0.0000 1
# Raw total energy = -4.439 eV per atom
# E_form = -325 meV/atom
# Mass density = 7.88 g/cm3
# Crystal system = trigonal

=====

# NdScCdIn (PBE, relaxed)
data_NdScCdIn
_cell_length_a 7.4344
_cell_length_b 7.4344
_cell_length_c 7.4344
_cell_angle_alpha 90.00
_cell_angle_beta 90.00
_cell_angle_gamma 90.00
_symmetry_space_group_name_H-M 'F -4 3 m'
_symmetry_Int_Tables_number 216
_symmetry_space_group_name_Hall 'F -4 2 3'
loop_
_atom_site_label
_atom_site_fract_x
_atom_site_fract_y
_atom_site_fract_z
_atom_site_occupancy
Nd1 0.0000 0.0000 0.0000 1
Sc1 0.0000 0.0000 0.5000 1
Cd1 0.2500 0.2500 0.2500 1
In1 0.2500 0.2500 0.7500 1
# Raw total energy = -4.063 eV per atom
# E_form = -375 meV/atom
# Mass density = 6.73 g/cm3
# Crystal system = cubic

=====

# NdCdInSn (PBE, relaxed)
data_NdCdInSn
_cell_length_a 4.5753
_cell_length_b 4.6823
_cell_length_c 4.8507
_cell_angle_alpha 90.00
_cell_angle_beta 90.00
_cell_angle_gamma 90.00
_symmetry_space_group_name_H-M 'P m m m'
_symmetry_Int_Tables_number 47
loop_
_symmetry_equiv_pos_as_xyz
'x,y,z'
'-x,-y,-z'
'-x,-y,z'
'x,y,-z'
'x,-y,-z'
'-x,y,z'
'-x,y,-z'
'x,-y,z'
loop_
_atom_site_label
_atom_site_fract_x
_atom_site_fract_y
_atom_site_fract_z
_atom_site_occupancy
Nd1 0.0000 0.0000 0.0000 1
Cd1 0.0000 0.5000 0.5000 1
In1 0.5000 0.0000 0.5000 1
Sn1 0.5000 0.5000 0.0000 1
# Raw total energy = -3.586 eV per atom
# E_form = -480 meV/atom
# Mass density = 7.83 g/cm3
# Crystal system = orthorhombic

=====

# SrNd2Cd2In2 (PBE, relaxed)
data_SrNd2Cd2In2
_cell_length_a 5.0216
_cell_length_b 5.0216
_cell_length_c 29.6156
_cell_angle_alpha 90.00
_cell_angle_beta 90.00
_cell_angle_gamma 120.00
_symmetry_space_group_name_H-M 'R -3 m'
_symmetry_Int_Tables_number 166
_symmetry_space_group_name_Hall '-R 3 2"'
loop_
_atom_site_label
_atom_site_fract_x
_atom_site_fract_y
_atom_site_fract_z
_atom_site_occupancy
Sr1 0.0000 0.0000 0.0000 1
Nd1 0.0000 0.0000 0.1299 1
Cd1 0.0000 0.0000 0.4099 1
In1 0.0000 0.0000 0.2531 1
# Raw total energy = -2.967 eV per atom
# E_form = -320 meV/atom
# Mass density = 6.40 g/cm3
# Crystal system = trigonal

=====

# SrNdCdIn (PBE, relaxed)
data_SrNdCdIn
_cell_length_a 7.9230
_cell_length_b 7.9230
_cell_length_c 7.9230
_cell_angle_alpha 90.00
_cell_angle_beta 90.00
_cell_angle_gamma 90.00
_symmetry_space_group_name_H-M 'F -4 3 m'
_symmetry_Int_Tables_number 216
_symmetry_space_group_name_Hall 'F -4 2 3'
loop_
_atom_site_label
_atom_site_fract_x
_atom_site_fract_y
_atom_site_fract_z
_atom_site_occupancy
Sr1 0.0000 0.0000 0.0000 1
Nd1 0.0000 0.0000 0.5000 1
Cd1 0.2500 0.2500 0.2500 1
In1 0.2500 0.2500 0.7500 1
# Raw total energy = -2.905 eV per atom
# E_form = -379 meV/atom
# Mass density = 6.13 g/cm3
# Crystal system = cubic

=====

# SrNdCdIn (PBE, relaxed)
data_SrNdCdIn
_cell_length_a 3.9153
_cell_length_b 3.9153
_cell_length_c 8.1381
_cell_angle_alpha 90.00
_cell_angle_beta 90.00
_cell_angle_gamma 90.00
_symmetry_space_group_name_H-M 'P 4 m m'
_symmetry_Int_Tables_number 99
loop_
_symmetry_equiv_pos_as_xyz
'x,y,z'
'-y,x,z'
'-x,-y,z'
'y,-x,z'
'-x,y,z'
'y,x,z'
'x,-y,z'
'-y,-x,z'
loop_
_atom_site_label
_atom_site_fract_x
_atom_site_fract_y
_atom_site_fract_z
_atom_site_occupancy
Sr1 0.0000 0.0000 0.0000 1
Nd1 0.0000 0.0000 0.5033 1
Cd1 0.5000 0.5000 0.7326 1
In1 0.5000 0.5000 0.2709 1
# Raw total energy = -2.919 eV per atom
# E_form = -393 meV/atom
# Mass density = 6.11 g/cm3
# Crystal system = tetragonal